1.
First-principles (PBE) data for crystalline UPaSi2 at its relaxed geometry, as listed in Alexandria.

Its magnetization is 5.1 μB/cell. The value obtained for the electronic total energy is -65.53 eV for the cell shown. Its crystal system is orthorhombic. The value obtained for the energy above the lowest structure with this stoichiometry is 0.000 eV/atom. Its space-group type is Cmcm.

Cell lengths 5.4318, 5.4318, 5.6451 Å; angles 90.00, 90.00, 100.48 degrees
Each line ends with the local moment (μB).
Positions (direct):
Pa  0.8637  0.1260  0.7500  0.10
Pa  0.1260  0.8637  0.2500  0.10
U  0.4949  0.4949  0.0000  2.30
U  0.4949  0.4949  0.5000  2.30
Si  0.3431  0.9846  0.7500  -0.03
Si  0.6467  0.0052  0.2500  -0.03
Si  0.9846  0.3431  0.2500  -0.03
Si  0.0052  0.6467  0.7500  -0.03

---

2.
First-principles (PBE) data for crystalline UPaSi2 at its relaxed geometry, as listed in Alexandria.

Its magnetization is 1.4 μB/cell. The value obtained for the electronic total energy is -31.72 eV for the cell shown. Its crystal system is trigonal. The value obtained for the energy above the lowest structure with this stoichiometry is 0.260 eV/atom. Its space-group type is R-3m.

Cell lengths 3.0791, 3.0791, 9.8033 Å; angles 80.96, 80.96, 60.00 degrees
Each line ends with the local moment (μB).
Positions (direct):
Si  0.2493  0.2493  0.2522  -0.01
Si  0.7507  0.7507  0.7478  -0.01
Pa  0.0000  0.0000  0.0000  -0.03
U  0.5000  0.5000  0.5000  1.39

---

3.
First-principles (PBE) data for crystalline UPa2Si at its relaxed geometry, as listed in Alexandria.

Its magnetization is 0.0 μB/cell. The value obtained for the electronic total energy is -35.03 eV for the cell shown. Its crystal system is trigonal. The value obtained for the energy above the lowest structure with this stoichiometry is 0.433 eV/atom. Its space-group type is R-3m.

Cell lengths 3.0176, 3.0176, 10.8438 Å; angles 82.00, 82.00, 60.00 degrees
Positions (direct):
Si  0.5000  0.5000  0.5000
U  0.0000  0.0000  0.0000
Pa  0.9102  0.9102  0.2693
Pa  0.0898  0.0898  0.7307

---

4.
First-principles (PBE) data for crystalline UPaSi at its relaxed geometry, as listed in Alexandria.

Its magnetization is 1.1 μB/cell. The value obtained for the electronic total energy is -53.50 eV for the cell shown. Its crystal system is orthorhombic. The value obtained for the energy above the lowest structure with this stoichiometry is 0.112 eV/atom. Its space-group type is Cmcm.

Cell lengths 5.1105, 5.1105, 5.9958 Å; angles 90.00, 90.00, 127.11 degrees
Each line ends with the local moment (μB).
Positions (direct):
U  0.3153  0.6847  0.7500  0.47
U  0.6847  0.3153  0.2500  0.47
Si  0.6341  0.3659  0.7500  -0.01
Si  0.3659  0.6341  0.2500  -0.01
Pa  0.0000  0.0000  0.0000  0.03
Pa  0.0000  0.0000  0.5000  0.03

---

5.
First-principles (PBE) data for crystalline UPa2Si at its relaxed geometry, as listed in Alexandria.

Its magnetization is 0.0 μB/cell. The value obtained for the electronic total energy is -36.76 eV for the cell shown. Its crystal system is tetragonal. The value obtained for the energy above the lowest structure with this stoichiometry is 0.000 eV/atom. Its space-group type is P4/mmm.

Cell lengths 4.2199, 4.4618, 4.4618 Å; angles 90.00, 90.00, 90.00 degrees
Positions (direct):
Pa  0.0000  0.0000  0.5000
Pa  0.0000  0.5000  0.0000
U  0.5000  0.5000  0.5000
Si  0.5000  0.0000  0.0000

---

6.
First-principles (PBE) data for crystalline UPaSi at its relaxed geometry, as listed in Alexandria.

Its magnetization is 0.0 μB/cell. The value obtained for the electronic total energy is -54.17 eV for the cell shown. Its crystal system is tetragonal. The value obtained for the energy above the lowest structure with this stoichiometry is 0.000 eV/atom. Its space-group type is I4/mmm.

Cell lengths 4.1152, 4.1152, 8.1310 Å; angles 104.66, 104.66, 90.00 degrees
Positions (direct):
Pa  0.8305  0.8305  0.6609
Pa  0.1695  0.1695  0.3391
U  0.0000  0.5000  0.0000
U  0.5000  0.0000  0.0000
Si  0.6380  0.6380  0.2760
Si  0.3620  0.3620  0.7240

---

7.
First-principles (PBE) data for crystalline UPaSi2 at its relaxed geometry, as listed in Alexandria.

Its magnetization is 3.0 μB/cell. The value obtained for the electronic total energy is -32.48 eV for the cell shown. Its crystal system is tetragonal. The value obtained for the energy above the lowest structure with this stoichiometry is 0.070 eV/atom. Its space-group type is P4/mmm.

Cell lengths 3.1562, 3.1562, 8.0048 Å; angles 90.00, 90.00, 90.00 degrees
Each line ends with the local moment (μB).
Positions (direct):
Si  0.0000  0.0000  0.7524  -0.03
Si  0.0000  0.0000  0.2476  -0.03
Pa  0.5000  0.5000  0.5000  0.35
U  0.5000  0.5000  0.0000  2.31

---

8.
First-principles (PBE) data for crystalline U6PaSi2 at its relaxed geometry, as listed in Alexandria.

Its magnetization is 0.0 μB/cell. The value obtained for the electronic total energy is -87.00 eV for the cell shown. Its crystal system is orthorhombic. Its space-group type is Immm.

Cell lengths 4.9827, 5.7705, 7.5698 Å; angles 112.41, 70.77, 90.00 degrees
Positions (direct):
U  0.3928  0.3316  0.2142
U  0.6072  0.6684  0.7858
U  0.7706  0.2296  0.4592
U  0.6072  0.1174  0.7858
U  0.3928  0.8826  0.2142
U  0.2294  0.7704  0.5408
Si  0.1562  0.3439  0.6877
Si  0.8438  0.6561  0.3123
Pa  0.0000  0.0000  0.0000

---

9.
First-principles (PBE) data for crystalline UPaSi at its relaxed geometry, as listed in Alexandria.

Its magnetization is 0.0 μB/cell. The value obtained for the electronic total energy is -26.29 eV for the cell shown. Its crystal system is hexagonal. The value obtained for the energy above the lowest structure with this stoichiometry is 0.265 eV/atom. Its space-group type is P-6m2.

Cell lengths 2.8990, 4.7810, 4.7810 Å; angles 120.00, 90.00, 90.00 degrees
Positions (direct):
U  0.1667  0.0000  0.0000
Pa  0.1665  0.6667  0.3333
Si  0.6668  0.3333  0.6667

---

10.
First-principles (PBE) data for crystalline UPa2Si at its relaxed geometry, as listed in Alexandria.

Its magnetization is 1.5 μB/cell. The value obtained for the electronic total energy is -35.72 eV for the cell shown. Its crystal system is cubic. The value obtained for the energy above the lowest structure with this stoichiometry is 0.261 eV/atom. Its space-group type is Fm-3m.

Cell lengths 4.9011, 4.9011, 4.9011 Å; angles 60.00, 60.00, 60.00 degrees
Each line ends with the local moment (μB).
Positions (direct):
Pa  0.7500  0.7500  0.7500  0.21
Pa  0.2500  0.2500  0.2500  0.21
Si  0.5000  0.5000  0.5000  -0.02
U  0.0000  0.0000  0.0000  1.01

---

11.
First-principles (PBE) data for crystalline PaVSi at its relaxed geometry, as listed in Alexandria.

Its magnetization is 2.1 μB/cell. The value obtained for the electronic total energy is -24.60 eV for the cell shown. Its crystal system is hexagonal. The value obtained for the energy above the lowest structure with this stoichiometry is 0.240 eV/atom. Its space-group type is P-6m2.

Cell lengths 3.5134, 4.3379, 4.3379 Å; angles 120.00, 90.00, 90.00 degrees
Each line ends with the local moment (μB).
Positions (direct):
Pa  0.6667  0.3333  0.6667  0.49
V  0.1666  0.0000  0.0000  1.26
Si  0.1667  0.6667  0.3333  -0.03

---

12.
First-principles (PBE) data for crystalline PaV2Si at its relaxed geometry, as listed in Alexandria.

Its magnetization is 0.0 μB/cell. The value obtained for the electronic total energy is -33.58 eV for the cell shown. Its crystal system is tetragonal. The value obtained for the energy above the lowest structure with this stoichiometry is 0.119 eV/atom. Its space-group type is P4/mmm.

Cell lengths 3.2569, 3.2569, 6.3460 Å; angles 90.00, 90.00, 90.00 degrees
Positions (direct):
Pa  0.5000  0.5000  0.5000
V  0.0000  0.0000  0.8250
V  0.0000  0.0000  0.1750
Si  0.5000  0.5000  0.0000

---

> Among the records above, which one has the highest magnetization?

number 1

---

> Look up the magnetization of the eighth one.

0.0 μB/cell